Density functional theory data (GGA-PBE) for SmDy2Cu4 after structural relaxation.

Cell lengths 6.5233, 6.5233, 6.5233 Å; angles 132.31, 132.31, 69.73 degrees
Closest atoms and distances in Å follow each position.
Positions (direct):
Sm (0.0000, 0.0000, 0.0000)  8 Cu 2.95, 2 Dy 3.21
Dy (0.2998, 0.2998, 0.0000)  4 Cu 2.76
Dy (0.7002, 0.7002, 0.0000)  4 Cu 2.76
Cu (0.1242, 0.6242, 0.5000)  2 Cu 2.66-2.69, 2 Dy 2.76, 2 Sm 2.95
Cu (0.3758, 0.8758, 0.5000)  2 Cu 2.66-2.69, 2 Dy 2.76, 2 Sm 2.95
Cu (0.6242, 0.1242, 0.5000)  2 Cu 2.66-2.69, 2 Dy 2.76, 2 Sm 2.95
Cu (0.8758, 0.3758, 0.5000)  2 Cu 2.66-2.69, 2 Dy 2.76, 2 Sm 2.95

Computed properties:
Density of states at the Fermi level   5.51 states/eV per cell
VASP energy   -4.3235 eV/atom
Space-group type   I4/mmm
E_form   0.6 kJ/mol of atoms